Te2BrCl | meta-GGA SCAN | PBEsol geometry

Structure (extended XYZ):
```
4
Lattice="2.037 1.176 8.479 -2.037 1.176 8.479 0.000 -2.352 8.479" Properties=species:S:1:pos:R:3 pbc="T T T"
Te 0.000 0.000 0.000
Te 0.000 0.000 6.679
Br 0.000 0.000 18.893
Cl 0.000 0.000 13.421
```

Calculated values
Symmetry   No. 160
Energy above the lowest structure with this stoichiometry   17 meV per atom
Raw formation energy   -0.269 eV/atom

=====

TeBrCl3 | meta-GGA SCAN | PBEsol geometry

Structure (extended XYZ):
```
5
Lattice="5.176 0.000 0.000 0.000 5.176 0.000 0.000 0.000 5.176" Properties=species:S:1:pos:R:3 pbc="T T T"
Te 0.000 0.000 0.000
Br 2.588 2.588 2.588
Cl 0.000 0.000 2.588
Cl 0.000 2.588 0.000
Cl 2.588 0.000 0.000
```

Calculated values
Symmetry   No. 221
Raw formation energy   -0.140 eV/atom
Density of states at the Fermi level   1.451 states/eV/atom

=====

TiTeBr2Cl | meta-GGA SCAN | PBEsol geometry

Structure (extended XYZ):
```
5
Lattice="5.409 0.000 0.000 0.000 5.409 0.000 0.000 0.000 5.442" Properties=species:S:1:pos:R:3 pbc="T T T"
Ti 0.000 0.000 0.000
Te 0.000 0.000 2.721
Br 0.000 2.705 2.721
Br 2.705 0.000 2.721
Cl 2.705 2.705 0.000
```

Calculated values
Symmetry   No. 123
Raw formation energy   -0.021 eV/atom
Density of states at the Fermi level   0.664 states/eV/atom

=====

TiBr3Cl | meta-GGA SCAN | PBEsol geometry

Structure (extended XYZ):
```
5
Lattice="5.220 0.000 0.000 0.000 5.220 0.000 0.000 0.000 5.220" Properties=species:S:1:pos:R:3 pbc="T T T"
Ti 0.000 0.000 0.000
Br 0.000 2.610 2.610
Br 2.610 0.000 2.610
Br 2.610 2.610 0.000
Cl 2.610 2.610 2.610
```

Calculated values
Symmetry   No. 221
Raw formation energy   0.401 eV/atom
Density of states at the Fermi level   0.862 states/eV/atom

=====

Ti2BrCl | meta-GGA SCAN | PBEsol geometry

Structure (extended XYZ):
```
4
Lattice="0.000 3.137 3.137 3.137 0.000 3.137 3.137 3.137 0.000" Properties=species:S:1:pos:R:3 pbc="T T T"
Ti 1.569 1.569 1.569
Ti 4.706 4.706 4.706
Br 0.000 0.000 0.000
Cl 3.137 3.137 3.137
```

Calculated values
Symmetry   No. 225
Raw formation energy   -0.203 eV/atom
Density of states at the Fermi level   1.266 states/eV/atom

=====

TiBr2Cl | meta-GGA SCAN | PBEsol geometry

Structure (extended XYZ):
```
4
Lattice="1.736 1.002 10.332 -1.736 1.002 10.332 0.000 -2.005 10.332" Properties=species:S:1:pos:R:3 pbc="T T T"
Ti 0.000 0.000 0.000
Br 0.000 0.000 2.293
Br 0.000 0.000 28.704
Cl 0.000 0.000 15.498
```

Calculated values
Symmetry   No. 166
Raw formation energy   -0.118 eV/atom
Density of states at the Fermi level   0.474 states/eV/atom

=====

Tl2BrCl | meta-GGA SCAN | PBEsol geometry

Structure (extended XYZ):
```
4
Lattice="3.825 -3.826 0.000 3.825 3.826 0.000 -0.009 0.000 3.836" Properties=species:S:1:pos:R:3 pbc="T T T"
Tl 1.913 1.913 0.000
Tl 1.913 -1.913 0.000
Br -0.005 0.000 1.918
Cl 3.821 0.000 1.918
```

Calculated values
Symmetry   No. 12
Energy above the lowest structure with this stoichiometry   7 meV per atom
Raw formation energy   -0.974 eV/atom
Density of states at the Fermi level   0.000 states/eV/atom

=====

TlBrCl2 | meta-GGA SCAN | PBEsol geometry

Structure (extended XYZ):
```
4
Lattice="2.496 1.441 7.416 -2.496 1.441 7.416 0.000 -2.882 7.416" Properties=species:S:1:pos:R:3 pbc="T T T"
Tl 0.000 0.000 0.000
Br 0.000 0.000 11.124
Cl 0.000 0.000 8.734
Cl 0.000 0.000 13.514
```

Calculated values
Symmetry   No. 166
Energy above the lowest structure with this stoichiometry   37 meV per atom
Raw formation energy   -0.555 eV/atom
Density of states at the Fermi level   0.000 states/eV/atom

=====

> The highest raw formation energy belongs to which entry?

TiBr3Cl

=====

> Among the records above, which one has the lowest raw formation energy?

Tl2BrCl